Entry 1:
ScPaTeN2: optimized geometry, PBE.

```
data_ScPaTeN2
_chemical_formula_sum 'Sc2 Pa2 Te2 N4'
_symmetry_space_group_name_H-M 'P 1 21/m 1'
_symmetry_Int_Tables_number 11
_symmetry_space_group_name_Hall '-P 2yb'
_cell_length_a 6.932
_cell_length_b 4.049
_cell_length_c 7.634
_cell_angle_alpha 90.00
_cell_angle_beta 110.53
_cell_angle_gamma 90.00
loop_
_atom_site_label
_atom_site_fract_x
_atom_site_fract_y
_atom_site_fract_z
Sc1 0.132 0.250 0.422
Pa1 0.167 0.250 0.923
Te1 0.467 0.750 0.250
N1 0.000 0.250 0.630
N2 0.020 0.750 0.886
```

Output
The formation energy (no corrections) is -1.620 eV per atom. Its crystal system is monoclinic.

---

Entry 2:
CaCrW2C: optimized geometry, PBE.

```
data_CaCrW2C
_chemical_formula_sum 'Ca1 Cr1 W2 C1'
_symmetry_space_group_name_H-M 'P 4/m m m'
_symmetry_Int_Tables_number 123
_symmetry_space_group_name_Hall '-P 4 2'
_cell_length_a 4.753
_cell_length_b 4.753
_cell_length_c 3.932
_cell_angle_alpha 90.00
_cell_angle_beta 90.00
_cell_angle_gamma 90.00
loop_
_atom_site_label
_atom_site_fract_x
_atom_site_fract_y
_atom_site_fract_z
Ca1 0.000 0.000 0.000
Cr1 0.500 0.500 0.500
W1 0.000 0.500 0.000
C1 0.000 0.000 0.500
```

Output
Its crystal system is tetragonal. For the formation energy from the elements, the calculation gives 3688 meV/atom. As for the density of states at the Fermi level: 7.327 states/eV/cell.

---

Entry 3:
HoErCoPt: optimized geometry, PBE.

```
data_HoErCoPt
_chemical_formula_sum 'Ho4 Er4 Co4 Pt4'
_symmetry_space_group_name_H-M 'F -4 3 m'
_symmetry_Int_Tables_number 216
_symmetry_space_group_name_Hall 'F -4 2 3'
_cell_length_a 6.808
_cell_length_b 6.808
_cell_length_c 6.808
_cell_angle_alpha 90.00
_cell_angle_beta 90.00
_cell_angle_gamma 90.00
loop_
_atom_site_label
_atom_site_fract_x
_atom_site_fract_y
_atom_site_fract_z
Ho1 0.000 0.000 0.000
Er1 0.000 0.000 0.500
Co1 0.250 0.250 0.750
Pt1 0.250 0.250 0.250
```

Output
Its crystal system is cubic. For the formation energy from the elements, the calculation gives -702 meV/atom. As for the density of states at the Fermi level: 10.797 states/eV/cell.

---

Entry 4:
KLiPt3: optimized geometry, PBE.

```
data_KLiPt3
_chemical_formula_sum 'K1 Li1 Pt3'
_symmetry_space_group_name_H-M 'P m -3 m'
_symmetry_Int_Tables_number 221
_symmetry_space_group_name_Hall '-P 4 2 3'
_cell_length_a 5.050
_cell_length_b 5.050
_cell_length_c 5.050
_cell_angle_alpha 90.00
_cell_angle_beta 90.00
_cell_angle_gamma 90.00
loop_
_atom_site_label
_atom_site_fract_x
_atom_site_fract_y
_atom_site_fract_z
K1 0.000 0.000 0.000
Li1 0.500 0.500 0.500
Pt1 0.000 0.000 0.500
```

Output
Its excess energy over the best structure of this formula in the dataset is 1286.6 meV per atom. Its crystal system is cubic. For the formation energy from the elements, the calculation gives 1713 meV/atom. As for the density of states at the Fermi level: 1.608 states/eV/cell.

---

Entry 5:
MgCo2Sb: optimized geometry, PBE.

```
data_MgCo2Sb
_chemical_formula_sum 'Mg1 Co2 Sb1'
_symmetry_space_group_name_H-M 'P 1 2/m 1'
_symmetry_Int_Tables_number 10
_symmetry_space_group_name_Hall '-P 2y'
_cell_length_a 3.094
_cell_length_b 4.057
_cell_length_c 5.332
_cell_angle_alpha 90.00
_cell_angle_beta 93.26
_cell_angle_gamma 90.00
loop_
_atom_site_label
_atom_site_fract_x
_atom_site_fract_y
_atom_site_fract_z
Mg1 0.000 0.000 0.000
Co1 0.459 0.500 0.787
Sb1 0.500 0.000 0.500
```

Output
The formation energy (no corrections) is 0.207 eV per atom. Its crystal system is monoclinic. As for the density of states at the Fermi level: 2.979 states/eV/cell.

---

Entry 6:
CuPtSe: optimized geometry, PBE.

```
data_CuPtSe
_chemical_formula_sum 'Cu1 Pt1 Se1'
_symmetry_space_group_name_H-M 'P 3 m 1'
_symmetry_Int_Tables_number 156
_symmetry_space_group_name_Hall 'P 3 -2"'
_cell_length_a 3.6245
_cell_length_b 3.6245
_cell_length_c 4.5353
_cell_angle_alpha 90.00
_cell_angle_beta 90.00
_cell_angle_gamma 120.00
loop_
_atom_site_label
_atom_site_fract_x
_atom_site_fract_y
_atom_site_fract_z
Cu1 0.0000 0.0000 0.0000
Pt1 0.6667 0.3333 0.3327
Se1 0.3333 0.6667 0.6566
```

Output
The formation energy (no corrections) is 0.119 eV per atom. Its excess energy over the best structure of this formula in the dataset is 133.2 meV per atom. Its crystal system is trigonal. As for the density of states at the Fermi level: 1.321 states/eV/cell.